VASP calculation (PBE) on a relaxed Ti2SnSb2 crystal.

Its uncorrected formation energy is -0.08 eV per atom. As for the energy above the most stable polymorph in this dataset: 0.212 eV per atom. The calculation puts the electronic total energy at -5.6853 eV per atom.

It has space group P4/mbm (No. 127), with a = 8.044 Å, b = 8.044 Å, c = 3.503 Å, α = 90.00°, β = 90.00° and γ = 90.00°. Symmetry generates all atoms from Ti at (0.134, 0.366, 0.000), Sn at (0.000, 0.000, 0.500) and Sb at (0.151, 0.651, 0.500).